DFT (GGA-PBEsol) results for crystalline CsHRu3 at its relaxed geometry.

Output
space group: No. 221
raw total energy: -16.9 eV per formula unit
DOS(E_F): 1.194 states/eV per atom
M_tot: 5.75 μB/f.u.

POSCAR file:
```
CsHRu3
1.0
-1.688 0.356 -4.588
4.338 -1.506 -1.713
-1.535 -4.651 0.204
Ru H Cs
3 1 1
Direct
0.000 0.000 0.500
0.000 0.500 0.000
0.500 0.000 0.000
0.500 0.500 0.500
0.000 0.000 0.000
```

DFT (GGA-PBEsol) results for crystalline GeW3Cl at its relaxed geometry.

Output
raw formation energy: 2.322 eV per atom
space group: No. 221
raw total energy: -36.8 eV per formula unit
DOS(E_F): 1.058 states/eV per atom
M_tot: 0.00 μB/f.u.

POSCAR file:
```
GeW3Cl
1.0
-0.029 3.748 2.727
-4.319 0.968 -1.376
-1.683 -2.550 3.487
W Ge Cl
3 1 1
Direct
0.000 0.000 0.500
0.000 0.500 0.000
0.500 0.000 0.000
0.000 0.000 0.000
0.500 0.500 0.500
```

DFT (GGA-PBEsol) results for crystalline CsLi2Sb2 at its relaxed geometry.

Output
raw formation energy: -0.458 eV per atom
space group: No. 139
raw total energy: -16.3 eV per formula unit
DOS(E_F): 0.740 states/eV per atom
M_tot: 0.00 μB/f.u.

POSCAR file:
```
CsLi2Sb2
1.0
-0.706 -4.873 1.546
4.803 -1.168 -1.486
-0.221 4.308 4.863
Sb Li Cs
2 2 1
Direct
0.371 0.371 0.741
0.629 0.629 0.259
0.250 0.750 0.500
0.750 0.250 0.500
0.000 0.000 0.000
```

DFT (GGA-PBEsol) results for crystalline Li2CuSiO4 at its relaxed geometry.

Output
raw formation energy: -1.997 eV per atom
space group: No. 121
raw total energy: -51.0 eV per formula unit
distance to the lowest polymorph of the same formula: 0.004 eV per atom
DOS(E_F): 0.146 states/eV per atom
M_tot: 1.01 μB/f.u.

POSCAR file:
```
Li2CuSiO4
1.0
4.347 0.000 0.000
0.000 4.347 0.000
-2.174 -2.174 4.228
Cu O Si Li
1 4 1 2
Direct
0.000 0.000 0.000
0.169 0.169 0.777
0.831 0.392 0.223
0.392 0.831 0.223
0.608 0.608 0.777
0.500 0.500 0.000
0.750 0.250 0.500
0.250 0.750 0.500
```